Entry 1:
A plane-wave DFT calculation with PBE-GGA was carried out for SrTe3P after structural relaxation.

Cell and atoms, written as POSCAR:
```
SrTe3P
1.0
7.7900 0.0000 0.0000
0.0000 8.2297 0.0000
-7.2375 0.0000 10.4987
Sr Te P
4 12 4
direct
0.2271 0.1010 0.2553
0.2271 0.3990 0.7553
0.7729 0.6010 0.2447
0.7729 0.8990 0.7447
0.1235 0.1909 0.9480
0.1235 0.3091 0.4480
0.2645 0.7210 0.9483
0.2645 0.7790 0.4483
0.3770 0.0080 0.7731
0.3770 0.4920 0.2731
0.6230 0.5080 0.7269
0.6230 0.9920 0.2269
0.7355 0.2210 0.5517
0.7355 0.2790 0.0517
0.8765 0.6909 0.5520
0.8765 0.8091 0.0520
0.1107 0.6033 0.0588
0.1107 0.8967 0.5588
0.8893 0.1033 0.4412
0.8893 0.3967 0.9412
```

- ΔE_f (raw) (meV per atom) = -642
- E above lowest polymorph (meV/atom) = 0
- final energy (eV/atom) = -3.945
- size of the total moment (Bohr magnetons per cell) = 0.00

***

Entry 2:
A plane-wave DFT calculation with PBE-GGA was carried out for SrTe3P after structural relaxation.

Cell and atoms, written as POSCAR:
```
SrTe3P
1.0
6.3717 0.0000 0.0000
0.0000 6.3717 0.0000
0.0000 0.0000 6.3717
Sr Te P
1 3 1
direct
0.0000 0.0000 0.0000
0.0000 0.0000 0.5000
0.0000 0.5000 0.0000
0.5000 0.0000 0.0000
0.5000 0.5000 0.5000
```

- ΔE_f (raw) (meV per atom) = 753
- E above lowest polymorph (meV/atom) = 1395
- final energy (eV/atom) = -2.550
- size of the total moment (Bohr magnetons per cell) = 1.01

***

Entry 3:
A plane-wave DFT calculation with PBE-GGA was carried out for SrTeP2 after structural relaxation.

Cell and atoms, written as POSCAR:
```
SrTeP2
1.0
4.4004 0.0000 0.0000
0.0000 4.4004 0.0000
0.0000 0.0000 9.8250
Sr Te P
2 2 4
direct
0.0000 0.0000 0.0000
0.5000 0.5000 0.5000
0.0000 0.0000 0.5000
0.5000 0.5000 0.0000
0.0000 0.5000 0.2500
0.0000 0.5000 0.7500
0.5000 0.0000 0.2500
0.5000 0.0000 0.7500
```

- ΔE_f (raw) (meV per atom) = -1
- final energy (eV/atom) = -3.912
- size of the total moment (Bohr magnetons per cell) = 0.00

***

Entry 4:
A plane-wave DFT calculation with PBE-GGA was carried out for SrTeP2 after structural relaxation.

Cell and atoms, written as POSCAR:
```
SrTeP2
1.0
4.0346 0.0000 0.0000
-2.0173 3.4940 0.0000
0.0000 0.0000 21.5635
Sr Te P
3 3 6
direct
0.0000 0.0000 0.0000
0.3333 0.6667 0.6667
0.6667 0.3333 0.3333
0.0000 0.0000 0.2245
0.3333 0.6667 0.8911
0.6667 0.3333 0.5578
0.0000 0.0000 0.4751
0.0000 0.0000 0.7581
0.3333 0.6667 0.1417
0.3333 0.6667 0.4248
0.6667 0.3333 0.0915
0.6667 0.3333 0.8084
```

- ΔE_f (raw) (meV per atom) = -348
- final energy (eV/atom) = -4.259
- size of the total moment (Bohr magnetons per cell) = 0.00

***

Entry 5:
A plane-wave DFT calculation with PBE-GGA was carried out for SrTe3P after structural relaxation.

Cell and atoms, written as POSCAR:
```
SrTe3P
1.0
5.3688 0.0000 0.0000
0.0000 5.3688 0.0000
0.0000 0.0000 5.3688
Sr Te P
1 3 1
direct
0.0000 0.0000 0.0000
0.0000 0.5000 0.5000
0.5000 0.0000 0.5000
0.5000 0.5000 0.0000
0.5000 0.5000 0.5000
```

- ΔE_f (raw) (meV per atom) = -399
- E above lowest polymorph (meV/atom) = 243
- final energy (eV/atom) = -3.702
- size of the total moment (Bohr magnetons per cell) = 0.00

***

Entry 6:
A plane-wave DFT calculation with PBE-GGA was carried out for Sr2TeP after structural relaxation.

Cell and atoms, written as POSCAR:
```
Sr2TeP
1.0
4.5139 0.0000 0.0000
0.0000 4.5139 0.0000
0.0000 0.0000 12.1116
Sr Te P
4 2 2
direct
0.0000 0.0000 0.0000
0.0000 0.5000 0.2500
0.5000 0.0000 0.7500
0.5000 0.5000 0.5000
0.0000 0.5000 0.7500
0.5000 0.0000 0.2500
0.0000 0.0000 0.5000
0.5000 0.5000 0.0000
```

- ΔE_f (raw) (meV per atom) = -919
- E above lowest polymorph (meV/atom) = 245
- final energy (eV/atom) = -3.898
- size of the total moment (Bohr magnetons per cell) = 0.00

***

Entry 7:
A plane-wave DFT calculation with PBE-GGA was carried out for SrTeP2 after structural relaxation.

Cell and atoms, written as POSCAR:
```
SrTeP2
1.0
11.7805 0.0000 0.0000
0.0000 3.3257 0.0000
-1.3543 0.0000 5.8184
Sr Te P
2 2 4
direct
0.0000 0.0000 0.0000
0.5000 0.5000 0.0000
0.0000 0.5000 0.5000
0.5000 0.0000 0.5000
0.2456 0.5000 0.1182
0.2544 0.0000 0.8818
0.7456 0.0000 0.1182
0.7544 0.5000 0.8818
```

- ΔE_f (raw) (meV per atom) = -424
- final energy (eV/atom) = -4.335
- size of the total moment (Bohr magnetons per cell) = 0.00

***

Entry 8:
A plane-wave DFT calculation with PBE-GGA was carried out for SrTeP2 after structural relaxation.

Cell and atoms, written as POSCAR:
```
SrTeP2
1.0
3.9893 0.0000 0.0000
0.0000 4.0706 0.0000
0.0000 0.0000 6.0616
Sr Te P
1 1 2
direct
0.0000 0.0000 0.0000
0.0000 0.0000 0.5000
0.5000 0.5000 0.3119
0.5000 0.5000 0.6881
```

- ΔE_f (raw) (meV per atom) = -100
- final energy (eV/atom) = -4.011
- size of the total moment (Bohr magnetons per cell) = 0.00

***

Entry 9:
A plane-wave DFT calculation with PBE-GGA was carried out for Sr3TeP after structural relaxation.

Cell and atoms, written as POSCAR:
```
Sr3TeP
1.0
5.8151 0.0000 0.0000
0.0000 5.8151 0.0000
0.0000 0.0000 5.8151
Sr Te P
3 1 1
direct
0.0000 0.0000 0.5000
0.0000 0.5000 0.0000
0.5000 0.0000 0.0000
0.5000 0.5000 0.5000
0.0000 0.0000 0.0000
```

- ΔE_f (raw) (meV per atom) = -966
- E above lowest polymorph (meV/atom) = 0
- final energy (eV/atom) = -3.686
- size of the total moment (Bohr magnetons per cell) = 0.00

***

Entry 10:
A plane-wave DFT calculation with PBE-GGA was carried out for Sr2TeP2 after structural relaxation.

Cell and atoms, written as POSCAR:
```
Sr2TeP2
1.0
7.9392 0.0000 0.0000
0.0000 7.9392 0.0000
0.0000 0.0000 4.2477
Sr Te P
4 2 4
direct
0.1515 0.3485 0.0000
0.3485 0.8485 0.0000
0.6515 0.1515 0.0000
0.8485 0.6515 0.0000
0.0000 0.0000 0.5000
0.5000 0.5000 0.5000
0.1602 0.6602 0.5000
0.3398 0.1602 0.5000
0.6602 0.8398 0.5000
0.8398 0.3398 0.5000
```

- ΔE_f (raw) (meV per atom) = -760
- E above lowest polymorph (meV/atom) = 144
- final energy (eV/atom) = -4.225
- size of the total moment (Bohr magnetons per cell) = 0.00

***

Entry 11:
A plane-wave DFT calculation with PBE-GGA was carried out for SrTeP2 after structural relaxation.

Cell and atoms, written as POSCAR:
```
SrTeP2
1.0
7.3490 0.0000 0.0000
0.0000 7.3490 0.0000
0.0000 0.0000 7.3490
Sr Te P
4 4 8
direct
0.0000 0.0000 0.0000
0.0000 0.5000 0.5000
0.5000 0.0000 0.5000
0.5000 0.5000 0.0000
0.2500 0.2500 0.7500
0.2500 0.7500 0.2500
0.7500 0.2500 0.2500
0.7500 0.7500 0.7500
0.0000 0.0000 0.5000
0.0000 0.5000 0.0000
0.2500 0.2500 0.2500
0.2500 0.7500 0.7500
0.5000 0.0000 0.0000
0.5000 0.5000 0.5000
0.7500 0.2500 0.7500
0.7500 0.7500 0.2500
```

- ΔE_f (raw) (meV per atom) = 151
- final energy (eV/atom) = -3.759
- size of the total moment (Bohr magnetons per cell) = 0.00

***

Entry 12:
A plane-wave DFT calculation with PBE-GGA was carried out for SrTeP3 after structural relaxation.

Cell and atoms, written as POSCAR:
```
SrTeP3
1.0
5.4400 0.0000 0.0000
0.0000 5.4400 0.0000
0.0000 0.0000 5.4400
Sr Te P
1 1 3
direct
0.0000 0.0000 0.0000
0.5000 0.5000 0.5000
0.0000 0.0000 0.5000
0.0000 0.5000 0.0000
0.5000 0.0000 0.0000
```

- ΔE_f (raw) (meV per atom) = 1395
- E above lowest polymorph (meV/atom) = 1037
- final energy (eV/atom) = -2.816
- size of the total moment (Bohr magnetons per cell) = 0.00